1.
First-principles (GGA-PBEsol) data for a relaxed structure of ZnSbMo2, as listed in the Alexandria database. Values from VASP.

Quantum ESPRESSO input file:
```
&SYSTEM
  ibrav = 0, nat = 4, ntyp = 3
/
ATOMIC_SPECIES
Mo 95.94 Mo.upf
Sb 121.76 Sb.upf
Zn 65.41 Zn.upf
ATOMIC_POSITIONS crystal
Mo 0.755 0.755 0.509
Mo 0.245 0.245 0.491
Sb 0.000 0.500 0.000
Zn 0.500 0.000 0.000
CELL_PARAMETERS angstrom
3.320 0.000 0.000
0.000 4.569 0.000
-1.660 -2.285 4.286
```

Computed properties:
- distance to the lowest polymorph of the same formula (eV per atom) = 0.0162
- crystal system = orthorhombic
- D(E_F) (states/eV/f.u.) = 3.0
- formation energy (no corrections) (eV per atom) = 0.322
- magnetic moment (μB per formula unit) = 0.0

2.
First-principles (GGA-PBEsol) data for a relaxed structure of TeOs4Cl, as listed in the Alexandria database. Values from VASP.

Quantum ESPRESSO input file:
```
&SYSTEM
  ibrav = 0, nat = 6, ntyp = 3
/
ATOMIC_SPECIES
Cl 35.45 Cl.upf
Os 190.23 Os.upf
Te 127.60 Te.upf
ATOMIC_POSITIONS crystal
Cl 0.000 0.000 0.000
Os 0.376 0.376 0.376
Os 0.376 0.376 0.873
Os 0.873 0.376 0.376
Os 0.376 0.873 0.376
Te 0.750 0.750 0.750
CELL_PARAMETERS angstrom
5.256 0.000 0.000
2.628 4.552 0.000
2.628 1.517 4.291
```

Computed properties:
- crystal system = cubic
- D(E_F) (states/eV/f.u.) = 11.8
- formation energy (no corrections) (eV per atom) = 1.449
- magnetic moment (μB per formula unit) = 0.8

3.
First-principles (GGA-PBEsol) data for a relaxed structure of Ni2Pt, as listed in the Alexandria database. Values from VASP.

Quantum ESPRESSO input file:
```
&SYSTEM
  ibrav = 0, nat = 12, ntyp = 2
/
ATOMIC_SPECIES
Ni 58.69 Ni.upf
Pt 195.08 Pt.upf
ATOMIC_POSITIONS crystal
Ni 0.989 0.011 0.000
Ni 0.667 0.172 0.331
Ni 0.337 0.332 0.673
Ni 0.989 0.489 0.000
Ni 0.668 0.663 0.327
Ni 0.511 0.011 0.000
Ni 0.828 0.333 0.669
Ni 0.511 0.489 0.000
Pt 0.332 0.829 0.683
Pt 0.170 0.173 0.323
Pt 0.171 0.668 0.317
Pt 0.827 0.830 0.677
CELL_PARAMETERS angstrom
-2.412 4.611 -0.261
-1.982 -0.770 4.756
3.200 3.323 3.289
```

Computed properties:
- crystal system = monoclinic
- D(E_F) (states/eV/f.u.) = 4.9
- E_form (eV per atom) = -0.027
- magnetic moment (μB per formula unit) = 1.7

4.
First-principles (GGA-PBEsol) data for a relaxed structure of MnHg2BiS, as listed in the Alexandria database. Values from VASP.

Quantum ESPRESSO input file:
```
&SYSTEM
  ibrav = 0, nat = 5, ntyp = 4
/
ATOMIC_SPECIES
S 32.06 S.upf
Mn 54.94 Mn.upf
Bi 208.98 Bi.upf
Hg 200.59 Hg.upf
ATOMIC_POSITIONS crystal
S 0.500 0.000 0.000
Mn 0.500 0.500 0.500
Bi 0.000 0.000 0.000
Hg 0.000 0.000 0.500
Hg 0.000 0.500 0.000
CELL_PARAMETERS angstrom
-0.662 -3.419 3.960
5.536 -1.121 -0.041
0.868 4.152 3.730
```

Computed properties:
- crystal system = tetragonal
- D(E_F) (states/eV/f.u.) = 3.0
- formation energy (no corrections) (eV per atom) = 0.874
- magnetic moment (μB per formula unit) = 5.2

5.
First-principles (GGA-PBEsol) data for a relaxed structure of Sr2LiLaTi4O12, as listed in the Alexandria database. Values from VASP.

Quantum ESPRESSO input file:
```
&SYSTEM
  ibrav = 0, nat = 20, ntyp = 5
/
ATOMIC_SPECIES
Sr 87.62 Sr.upf
Li 6.94 Li.upf
La 138.91 La.upf
Ti 47.87 Ti.upf
O 16.00 O.upf
ATOMIC_POSITIONS crystal
Sr 0.752 0.752 0.504
Sr 0.248 0.248 0.496
Li 0.000 0.000 0.000
La 0.500 0.500 0.000
Ti 0.124 0.624 0.248
Ti 0.876 0.376 0.752
Ti 0.624 0.124 0.248
Ti 0.376 0.876 0.752
O 0.379 0.867 0.246
O 0.133 0.621 0.754
O 0.867 0.379 0.246
O 0.621 0.133 0.754
O 0.250 0.750 0.500
O 0.000 0.500 0.000
O 0.750 0.250 0.500
O 0.500 0.000 0.000
O 0.379 0.379 0.246
O 0.133 0.133 0.754
O 0.867 0.867 0.246
O 0.621 0.621 0.754
CELL_PARAMETERS angstrom
-1.961 4.852 1.633
-2.226 -2.383 4.406
8.611 0.057 0.971
```

Computed properties:
- crystal system = tetragonal
- D(E_F) (states/eV/f.u.) = 0.0
- formation energy (no corrections) (eV per atom) = -3.109
- magnetic moment (μB per formula unit) = 0.0

6.
First-principles (GGA-PBEsol) data for a relaxed structure of YSiOs2, as listed in the Alexandria database. Values from VASP.

Quantum ESPRESSO input file:
```
&SYSTEM
  ibrav = 0, nat = 4, ntyp = 3
/
ATOMIC_SPECIES
Os 190.23 Os.upf
Si 28.09 Si.upf
Y 88.91 Y.upf
ATOMIC_POSITIONS crystal
Os 0.237 0.237 0.289
Os 0.763 0.763 0.711
Si 0.500 0.500 0.500
Y 0.000 0.000 0.000
CELL_PARAMETERS angstrom
-0.426 2.418 -1.673
-2.466 0.258 -1.637
-4.818 4.641 5.294
```

Computed properties:
- crystal system = trigonal
- D(E_F) (states/eV/f.u.) = 2.7
- formation energy (no corrections) (eV per atom) = 0.156
- magnetic moment (μB per formula unit) = 0.0

- What is the formula in the fourth record?
  MnHg2BiS

- What is the formula in the sixth record?
  YSiOs2